# 1
# V2Si4Mo

A relaxed V2Si4Mo crystal (PBE-GGA, Alexandria via LeMat-Bulk).

Total magnetization (μB per atom): 0.088
Formation energy from raw total energies (eV per atom): 0.504

Cell: 4.593 4.593 12.152 Å, 90.00 90.00 90.00°
Space group I4/mmm (No. 139)
Symmetry-distinct sites (fractional):
V1 0.000 0.000 0.094 [4 per cell]
Si1 0.000 0.000 0.298 [4 per cell]
Si2 0.000 0.500 0.000 [4 per cell]
Mo1 0.000 0.000 0.500 [2 per cell]

---

# 2
# V2SiMo

A relaxed V2SiMo crystal (PBE-GGA, Alexandria via LeMat-Bulk).

Total magnetization (μB per atom): 0.000
Formation energy from raw total energies (eV per atom): -0.298

Cell: 3.193 3.193 5.445 Å, 90.00 90.00 90.00°
Space group P4/mmm (No. 123)
Symmetry-distinct sites (fractional):
V1 0.000 0.000 0.236 [2 per cell]
Si1 0.500 0.500 0.000 [1 per cell]
Mo1 0.500 0.500 0.500 [1 per cell]

---

# 3
# V2Si2Mo

A relaxed V2Si2Mo crystal (PBE-GGA, Alexandria via LeMat-Bulk).

Total magnetization (μB per atom): 0.000
Formation energy from raw total energies (eV per atom): -0.440

Cell: 6.480 6.480 3.247 Å, 90.00 90.00 90.00°
Space group P4/mbm (No. 127)
Symmetry-distinct sites (fractional):
V1 0.167 0.333 0.000 [4 per cell]
Si1 0.131 0.631 0.500 [4 per cell]
Mo1 0.000 0.000 0.500 [2 per cell]

---

# 4
# VSi2Mo

A relaxed VSi2Mo crystal (PBE-GGA, Alexandria via LeMat-Bulk).

Total magnetization (μB per atom): 0.000
Formation energy from raw total energies (eV per atom): -0.128
ΔE to the lowest computed polymorph (meV/atom): 43

Cell: 3.031 3.031 5.957 Å, 90.00 90.00 90.00°
Space group P4/mmm (No. 123)
Symmetry-distinct sites (fractional):
V1 0.000 0.000 0.000 [1 per cell]
Si1 0.500 0.500 0.247 [2 per cell]
Mo1 0.000 0.000 0.500 [1 per cell]

---

# 5
# VSi2Mo

A relaxed VSi2Mo crystal (PBE-GGA, Alexandria via LeMat-Bulk).

Total magnetization (μB per atom): 0.050
Formation energy from raw total energies (eV per atom): -0.130
ΔE to the lowest computed polymorph (meV/atom): 41

Cell: 6.030 6.030 6.030 Å, 90.00 90.00 90.00°
Space group Fm-3m (No. 225)
Symmetry-distinct sites (fractional):
V1 0.000 0.000 0.000 [4 per cell]
Si1 0.250 0.250 0.250 [8 per cell]
Mo1 0.000 0.000 0.500 [4 per cell]

---

# 6
# V4SiMo2

A relaxed V4SiMo2 crystal (PBE-GGA, Alexandria via LeMat-Bulk).

Total magnetization (μB per atom): 0.000
Formation energy from raw total energies (eV per atom): 0.850

Cell: 4.337 4.337 12.376 Å, 90.00 90.00 90.00°
Space group I4/mmm (No. 139)
Symmetry-distinct sites (fractional):
V1 0.000 0.000 0.191 [4 per cell]
V2 0.000 0.500 0.000 [4 per cell]
Si1 0.000 0.000 0.000 [2 per cell]
Mo1 0.000 0.000 0.375 [4 per cell]

---

These records have volume values of 256.3, 55.5, 136.4, 54.7, 219.3, 232.8 Å³/cell, in the order they appear.